Entry from OQMD: Dy2Co after structural relaxation (GGA-PBE).

Output
Calculated density: 3.72 g/cm³
Crystal system: cubic
Uncorrected energy: -4.43 eV/atom
Magnetic moment: 0.0 μB/f.u.
Symmetry: Fd-3m (227)
Energy of formation: 1.01 eV per atom

Cell and atoms, written as POSCAR:
```
Dy2Co
1.0
3.9263 2.2669 6.4117
-3.9263 2.2669 6.4117
0.0000 -4.5338 6.4117
Co Dy
2 4
Cartesian
0.0000 0.0000 9.6176 Co
0.0000 0.0000 4.8088 Co
0.0000 -2.2669 10.4190 Dy
0.0000 0.0000 7.2132 Dy
1.9632 1.1334 10.4190 Dy
-1.9632 1.1334 10.4190 Dy
```